# 1
Material: KIn2S
Method: DFT, PBE-GGA
State: optimized geometry

abc: 6.9724 6.9724 6.9724
angles: 101.71 101.71 126.46
Fractional positions:
K: 0.0000 0.0000 0.0000
K: 0.7500 0.2500 0.5000
In: 0.1839 0.6250 0.0589
In: 0.3750 0.4339 0.5589
In: 0.5661 0.1250 0.9411
In: 0.8750 0.8161 0.4411
S: 0.2500 0.7500 0.5000
S: 0.5000 0.5000 0.0000

Results
Formation energy without anion corrections, eV per atom: -0.349
SG: I-42d, No. 122

# 2
Material: FeCo2SnC
Method: DFT, PBE-GGA
State: optimized geometry

abc: 3.8532 3.8532 3.8278
angles: 90.00 90.00 90.00
Fractional positions:
Fe: 0.0000 0.0000 0.0000
Co: 0.0000 0.5000 0.5000
Co: 0.5000 0.0000 0.5000
Sn: 0.5000 0.5000 0.0000
C: 0.0000 0.0000 0.5000

Results
SG: P4/mmm, No. 123
Formation energy, meV per atom: 17

# 3
Material: Co8NiRh2
Method: DFT, PBE-GGA
State: optimized geometry

abc: 6.7157 6.7157 5.7029
angles: 105.10 105.10 31.27
Fractional positions:
Co: 0.0413 0.0413 0.2288
Co: 0.1327 0.1327 0.6691
Co: 0.3226 0.3226 0.5906
Co: 0.4149 0.4149 0.0504
Co: 0.5851 0.5851 0.9496
Co: 0.6774 0.6774 0.4094
Co: 0.8673 0.8673 0.3309
Co: 0.9587 0.9587 0.7712
Ni: 0.5000 0.5000 0.5000
Rh: 0.2252 0.2252 0.1432
Rh: 0.7748 0.7748 0.8568

Results
SG: C2/m, No. 12
Formation energy, meV per atom: 38

# 4
Material: AcGa2Pd2Au
Method: DFT, PBE-GGA
State: optimized geometry

abc: 4.8115 4.8115 5.9225
angles: 90.00 90.00 90.00
Fractional positions:
Ac: 0.0000 0.0000 0.0000
Ga: 0.0000 0.5000 0.5000
Ga: 0.5000 0.0000 0.5000
Pd: 0.5000 0.5000 0.2478
Pd: 0.5000 0.5000 0.7522
Au: 0.0000 0.0000 0.5000

Results
SG: P4/mmm, No. 123
Formation energy, meV per atom: -327

# 5
Material: ZnBr2F
Method: DFT, PBE-GGA
State: optimized geometry

abc: 6.7954 6.7954 6.7954
angles: 123.39 123.39 84.22
Fractional positions:
Zn: 0.0000 0.0000 0.0000
Zn: 0.7500 0.2500 0.5000
Br: 0.0851 0.6250 0.9601
Br: 0.3750 0.3351 0.4601
Br: 0.6649 0.1250 0.0399
Br: 0.8750 0.9149 0.5399
F: 0.2500 0.7500 0.5000
F: 0.5000 0.5000 0.0000

Results
Formation energy without anion corrections, eV per atom: -0.515
SG: I-42d, No. 122

# 6
Material: Ce2Cu3Ge
Method: DFT, PBE-GGA
State: optimized geometry

abc: 8.7470 8.3422 5.6180
angles: 74.76 66.95 38.29
Fractional positions:
Ce: 0.2307 0.7693 0.7693
Ce: 0.2500 0.2500 0.2500
Ce: 0.7500 0.7500 0.7500
Ce: 0.7693 0.2307 0.2307
Cu: 0.1671 0.1671 0.8329
Cu: 0.1704 0.6635 0.3365
Cu: 0.3365 0.8296 0.1704
Cu: 0.6635 0.1704 0.8296
Cu: 0.8296 0.3365 0.6635
Cu: 0.8329 0.8329 0.1671
Ge: 0.3353 0.3353 0.6647
Ge: 0.6647 0.6647 0.3353

Results
SG: Fmmm, No. 69
Formation energy, meV per atom: -338

# 7
Material: PaFeNi2
Method: DFT, PBE-GGA
State: optimized geometry

abc: 4.8125 4.8125 6.6090
angles: 90.00 90.00 128.33
Fractional positions:
Pa: 0.0740 0.9260 0.7500
Pa: 0.9260 0.0740 0.2500
Fe: 0.1747 0.8253 0.2500
Fe: 0.8253 0.1747 0.7500
Ni: 0.3417 0.6583 0.5573
Ni: 0.3417 0.6583 0.9427
Ni: 0.6583 0.3417 0.0573
Ni: 0.6583 0.3417 0.4427

Results
SG: Cmcm, No. 63
Formation energy, meV per atom: -270

# 8
Material: SmZrRh
Method: DFT, PBE-GGA
State: optimized geometry

abc: 6.2867 6.2867 6.2867
angles: 148.31 148.31 45.43
Fractional positions:
Sm: 0.0000 0.0000 0.0000
Zr: 0.2870 0.2870 0.0000
Rh: 0.6742 0.6742 0.0000

Results
SG: I4mm, No. 107
Formation energy, meV per atom: -410

# 9
Material: AcDy2MgAg4
Method: DFT, PBE-GGA
State: optimized geometry

abc: 9.4135 9.4135 9.4135
angles: 31.36 31.36 31.36
Fractional positions:
Ac: 0.0000 0.0000 0.0000
Dy: 0.2377 0.2377 0.2377
Dy: 0.7623 0.7623 0.7623
Mg: 0.5000 0.5000 0.5000
Ag: 0.1244 0.1244 0.1244
Ag: 0.3957 0.3957 0.3957
Ag: 0.6043 0.6043 0.6043
Ag: 0.8756 0.8756 0.8756

Results
SG: R-3m, No. 166
Formation energy, meV per atom: -243

# 10
Material: MnMo2Ru
Method: DFT, PBE-GGA
State: optimized geometry

abc: 4.3640 4.3640 4.3640
angles: 60.00 60.00 60.00
Fractional positions:
Mn: 0.0000 0.0000 0.0000
Mo: 0.2500 0.2500 0.2500
Mo: 0.5000 0.5000 0.5000
Ru: 0.7500 0.7500 0.7500

Results
SG: F-43m, No. 216
Formation energy, meV per atom: 84

# 11
Material: Rb2ErCu2S4
Method: DFT, PBE-GGA
State: optimized geometry

abc: 7.5540 7.5540 7.8522
angles: 107.72 107.72 29.98
Fractional positions:
Rb: 0.1324 0.1324 0.0546
Rb: 0.8676 0.8676 0.9454
Er: 0.0000 0.0000 0.5000
Cu: 0.3197 0.3197 0.5140
Cu: 0.6803 0.6803 0.4860
S: 0.1996 0.1996 0.6608
S: 0.4768 0.4768 0.7228
S: 0.5232 0.5232 0.2772
S: 0.8004 0.8004 0.3392

Results
Formation energy without anion corrections, eV per atom: -1.124
SG: C2/m, No. 12

# 12
Material: Pm2Sm7Dy3
Method: DFT, PBE-GGA
State: optimized geometry

abc: 19.3603 19.3603 3.6412
angles: 90.00 90.00 162.81
Fractional positions:
Pm: 0.1481 0.8519 0.0000
Pm: 0.8519 0.1481 0.0000
Sm: 0.0000 0.0000 0.0000
Sm: 0.0717 0.9283 0.5000
Sm: 0.2312 0.7688 0.0000
Sm: 0.4091 0.5909 0.0000
Sm: 0.5909 0.4091 0.0000
Sm: 0.7688 0.2312 0.0000
Sm: 0.9283 0.0717 0.5000
Dy: 0.3148 0.6852 0.5000
Dy: 0.5000 0.5000 0.5000
Dy: 0.6852 0.3148 0.5000

Results
SG: Cmmm, No. 65
Formation energy, meV per atom: 110